Ba2SrLi2 | meta-GGA SCAN | PBEsol geometry

```
Ba2SrLi2
1.0
-2.0543 2.0543 12.8129
2.0543 -2.0543 12.8129
2.0543 2.0543 -12.8129
Ba Sr Li
2 1 2
direct
0.1293 0.1293 0.0000
0.8707 0.8707 0.0000
0.5000 0.5000 0.0000
0.2500 0.7500 0.5000
0.7500 0.2500 0.5000
```

Output
* offset from the most stable computed form: 67 meV per atom
* space-group type: I4/mmm (139)
* magnetization: 0.08 μB per formula unit
* total energy: -0.77723 Ha/atom